1) Ba2MgFe: optimized geometry, PBE.

DOS at the Fermi energy ... 1.53 states/eV/atom
Crystal system ... tetragonal
SG ... P4/mmm (123)

POSCAR file:
```
Ba2MgFe
1.0
4.064 0.000 0.000
0.000 5.956 0.000
0.000 0.000 5.956
Ba Fe Mg
2 1 1
Cartesian
0.000 0.000 0.000
0.000 2.978 2.978
2.032 2.978 0.000
2.032 0.000 2.978
```

***

2) Ba2MgFe: optimized geometry, PBE.

DOS at the Fermi energy ... 1.89 states/eV/atom
Crystal system ... orthorhombic
SG ... Imm2 (44)

POSCAR file:
```
Ba2MgFe
1.0
-0.055 -2.963 6.339
-2.972 -6.282 0.820
4.932 3.815 -3.177
Ba Fe Mg
2 1 1
Cartesian
-0.041 -0.125 0.097
1.814 -1.481 3.058
-1.421 -4.341 3.362
0.040 -4.105 1.045
```

***

Structures ranked by computed energy, the most stable listed first: 2), 1).

***

1) Ba2MgFe: optimized geometry, PBE.

DOS at the Fermi energy ... 1.52 states/eV/atom
Crystal system ... monoclinic
SG ... C2/m (12)

POSCAR file:
```
Ba2MgFe
1.0
4.445 -0.165 0.048
2.903 3.371 0.048
1.396 0.609 9.957
Ba Fe Mg
2 1 1
Cartesian
1.398 0.610 9.535
4.370 1.907 5.447
6.558 2.861 7.539
2.186 0.954 2.513
```

***

2) Ba2MgFe: optimized geometry, PBE.

DOS at the Fermi energy ... 1.89 states/eV/atom
Crystal system ... cubic
SG ... Fm-3m (225)

POSCAR file:
```
Ba2MgFe
1.0
1.979 -5.167 -1.240
-1.211 -4.386 3.382
-3.554 -4.048 -1.769
Mg Ba Fe
1 2 1
Cartesian
0.000 0.000 0.000
-0.697 -3.400 0.093
-2.090 -10.200 0.280
-1.393 -6.800 0.187
```

***

3) Ba2MgFe: optimized geometry, PBE.

DOS at the Fermi energy ... 1.69 states/eV/atom
Crystal system ... monoclinic
SG ... P2/m (10)

POSCAR file:
```
Ba2MgFe
1.0
-4.056 -0.001 -0.240
0.101 -3.706 -1.687
-0.360 -7.288 6.126
Ba Fe Mg
2 1 1
Cartesian
0.087 -3.808 -1.455
-0.116 -5.395 1.988
-2.093 -2.749 0.990
-2.222 -8.246 3.209
```

***

Structures ranked by computed energy, the most stable listed first: 3), 1), 2).

***

1) Ba2MgFe: optimized geometry, PBE.

DOS at the Fermi energy ... 1.35 states/eV/atom
Crystal system ... tetragonal
SG ... P4mm (99)

POSCAR file:
```
Ba2MgFe
1.0
-2.631 -0.754 -2.679
-0.948 -3.224 1.838
-6.544 4.814 5.071
Ba Fe Mg
2 1 1
Cartesian
-6.091 4.481 4.720
-3.947 -0.402 1.251
-3.722 2.738 2.884
-6.178 1.240 2.980
```

***

2) Ba2MgFe: optimized geometry, PBE.

DOS at the Fermi energy ... 1.89 states/eV/atom
Crystal system ... cubic
SG ... F-43m (216)

POSCAR file:
```
Ba2MgFe
1.0
5.684 0.000 0.000
2.842 4.923 0.000
2.842 1.641 4.641
Ba Fe Mg
2 1 1
Cartesian
0.000 0.000 0.000
2.842 1.641 1.160
5.684 3.282 2.321
8.526 4.923 3.481
```

***

3) Ba2MgFe: optimized geometry, PBE.

DOS at the Fermi energy ... 0.90 states/eV/atom
Crystal system ... tetragonal
SG ... I-42d (122)

POSCAR file:
```
Ba2MgFe
1.0
-5.093 -9.019 4.318
-1.129 -4.296 -10.305
-0.845 -7.823 -2.755
Mg Ba Fe
2 4 2
Cartesian
-3.111 -6.658 -2.993
-2.542 -9.389 -8.027
-4.473 -9.790 1.517
-5.708 -13.127 -3.066
-2.759 -10.070 -2.415
-5.156 -14.013 1.103
0.000 0.000 0.000
-4.524 -11.750 -0.715
```

***

Structures ranked by computed energy, the most stable listed first: 1), 2), 3).

***

1) BaMgFe2: optimized geometry, PBE.

DOS at the Fermi energy ... 3.45 states/eV/atom
Crystal system ... cubic
SG ... Fm-3m (225)

POSCAR file:
```
BaMgFe2
1.0
3.601 -3.375 1.099
0.243 -2.021 4.629
-1.218 -4.856 0.706
Mg Ba Fe
1 1 2
Cartesian
0.000 0.000 0.000
1.313 -5.126 3.216
0.657 -2.563 1.608
1.970 -7.690 4.825
```

***

2) BaMgFe2: optimized geometry, PBE.

DOS at the Fermi energy ... 1.08 states/eV/atom
Crystal system ... orthorhombic
SG ... Amm2 (38)

POSCAR file:
```
BaMgFe2
1.0
-2.096 -1.164 2.825
2.549 -3.384 0.497
4.787 1.530 4.183
Ba Fe Mg
1 2 1
Cartesian
4.816 -1.999 5.181
0.714 -0.417 0.358
0.413 -0.313 2.608
2.964 -1.215 1.699
```

***

Structures ranked by computed energy, the most stable listed first: 2), 1).

***

1) BaMgFe2: optimized geometry, PBE.

DOS at the Fermi energy ... 0.67 states/eV/atom
Crystal system ... tetragonal
SG ... I-4m2 (119)

POSCAR file:
```
BaMgFe2
1.0
5.038 -0.026 0.000
0.081 5.037 0.000
-2.560 -2.505 3.543
Ba Fe Mg
1 2 1
Cartesian
2.519 -0.013 1.771
0.000 0.000 0.000
0.041 2.519 1.771
2.560 2.505 0.000
```

***

2) BaMgFe2: optimized geometry, PBE.

DOS at the Fermi energy ... 1.13 states/eV/atom
Crystal system ... tetragonal
SG ... P4mm (99)

POSCAR file:
```
BaMgFe2
1.0
-0.389 -1.007 -3.103
3.252 0.129 -0.450
0.644 -7.740 2.430
Ba Fe Mg
1 2 1
Cartesian
1.938 -6.536 0.138
0.060 -0.721 0.226
1.561 -2.002 -1.285
0.268 -3.228 1.013
```

***

3) BaMgFe2: optimized geometry, PBE.

DOS at the Fermi energy ... 1.61 states/eV/atom
Crystal system ... trigonal
SG ... R-3m (166)

POSCAR file:
```
BaMgFe2
1.0
-1.371 1.076 9.970
1.746 0.591 9.952
0.597 3.492 9.481
Ba Fe Mg
1 2 1
Cartesian
0.729 3.869 22.051
0.962 5.107 29.108
0.495 2.631 14.995
0.243 1.290 7.350
```

***

4) BaMgFe2: optimized geometry, PBE.

DOS at the Fermi energy ... 1.02 states/eV/atom
Crystal system ... monoclinic
SG ... C2/m (12)

POSCAR file:
```
BaMgFe2
1.0
4.780 -0.063 0.007
3.083 3.654 0.007
2.407 1.099 5.733
Ba Fe Mg
1 2 1
Cartesian
7.702 3.517 4.310
8.036 3.670 1.025
4.961 2.265 1.862
2.567 1.172 1.437
```

***

Structures ranked by computed energy, the most stable listed first: 2), 4), 1), 3).

***

1) BaMgFe2: optimized geometry, PBE.

DOS at the Fermi energy ... 0.66 states/eV/atom
Crystal system ... orthorhombic
SG ... Imm2 (44)

POSCAR file:
```
BaMgFe2
1.0
-2.750 3.671 5.088
-4.493 -1.747 4.867
5.910 -1.088 -3.288
Ba Fe Mg
1 2 1
Cartesian
-0.828 -1.009 2.901
-6.998 1.858 9.618
-0.958 1.965 4.389
-3.414 0.907 4.692
```

***

2) BaMgFe2: optimized geometry, PBE.

DOS at the Fermi energy ... 1.01 states/eV/atom
Crystal system ... trigonal
SG ... R3m (160)

POSCAR file:
```
BaMgFe2
1.0
4.048 -0.007 0.006
2.031 3.502 0.006
2.013 1.157 6.864
Ba Fe Mg
1 2 1
Cartesian
6.067 3.487 5.592
6.077 3.494 1.115
2.024 1.164 1.119
4.049 2.327 2.499
```

***

3) BaMgFe2: optimized geometry, PBE.

DOS at the Fermi energy ... 0.97 states/eV/atom
Crystal system ... tetragonal
SG ... I4_1/amd (141)

POSCAR file:
```
BaMgFe2
1.0
-0.988 -0.567 4.656
-4.023 -2.344 -1.139
2.267 -9.656 1.772
Mg Ba Fe
2 2 4
Cartesian
-2.506 -1.455 1.758
-2.131 -6.727 1.196
0.000 0.000 0.000
-0.614 -5.839 4.093
-0.307 -2.920 2.047
-2.318 -4.091 1.477
-1.185 -8.919 2.363
-1.679 -9.203 4.691
```

***

Structures ranked by computed energy, the most stable listed first: 2), 1), 3).

***

1) BaMg14Fe: optimized geometry, PBE.

DOS at the Fermi energy ... 0.65 states/eV/atom
Crystal system ... orthorhombic
SG ... Amm2 (38)

POSCAR file:
```
BaMg14Fe
1.0
3.135 -5.874 0.000
3.135 5.874 0.000
0.000 0.000 10.455
Ba Mg Fe
1 14 1
Cartesian
3.135 2.306 5.227
3.135 -3.884 0.000
3.135 1.932 0.000
4.723 -0.661 5.227
4.653 -0.948 0.000
1.547 -0.661 5.227
1.617 -0.948 0.000
4.740 0.885 7.888
4.740 0.885 2.567
1.530 0.885 7.888
1.530 0.885 2.567
3.135 -2.202 7.510
3.135 -2.202 2.944
3.135 3.961 8.088
3.135 3.961 2.367
3.135 -4.196 5.227
```

***

2) BaMg14Fe: optimized geometry, PBE.

DOS at the Fermi energy ... 0.60 states/eV/atom
Crystal system ... hexagonal
SG ... P-6m2 (187)

POSCAR file:
```
BaMg14Fe
1.0
3.264 -5.654 0.000
3.264 5.654 0.000
0.000 0.000 10.425
Ba Mg Fe
1 14 1
Cartesian
0.000 0.000 5.212
4.835 -2.791 0.000
1.714 2.780 5.212
1.694 -2.791 0.000
4.815 2.780 5.212
3.264 -0.071 0.000
3.264 0.094 5.212
3.264 3.799 2.327
3.264 3.799 8.098
1.607 0.928 2.327
1.607 0.928 8.098
4.922 0.928 2.327
4.922 0.928 8.098
3.264 -1.885 2.741
3.264 -1.885 7.684
0.000 0.000 0.000
```

***

Structures ranked by computed energy, the most stable listed first: 1), 2).